[1]
Mg3Sc3Cd2 (PBE, optimized geometry); E_tot = -3.36 eV/atom; D(E_F) = 0.741 states/eV per atom; formation energy = -1.29 eV per formula unit
1.0
4.885 0.000 0.000
0.000 4.898 0.000
0.000 0.000 7.417
Mg Sc Cd
3 3 2
Cartesian
2.443 2.449 5.606 Mg
2.443 0.000 0.000 Mg
2.443 2.449 1.810 Mg
0.000 2.449 3.708 Sc
2.443 0.000 3.708 Sc
0.000 2.449 0.000 Sc
0.000 0.000 1.830 Cd
0.000 0.000 5.587 Cd

[2]
Ac2Ni4BiSb3 (PBE, optimized geometry); E_form (uncorrected) = -604 meV/atom; E_tot = -5.36 eV/atom; D(E_F) = 0.535 states/eV per atom
1.0
-0.037 3.725 -2.735
-3.907 -1.487 -1.971
-5.491 5.107 7.029
Ni Sb Ac Bi
4 3 2 1
Cartesian
-3.466 5.069 3.045 Ni
-1.972 1.119 -2.353 Ni
-3.997 1.157 1.630 Ni
0.000 0.000 0.000 Ni
-2.626 -0.118 -0.125 Sb
-4.837 6.344 4.800 Sb
-2.745 2.554 3.514 Sb
-1.299 3.054 0.272 Ac
-6.163 3.173 4.404 Ac
-4.717 3.673 1.161 Bi

[3]
CeDyAgIr (PBE, optimized geometry); E_tot = -6.03 eV/atom; D(E_F) = 1.650 states/eV per atom; formation energy = -1.87 eV per formula unit
1.0
5.030 0.000 0.000
2.515 4.356 0.000
2.515 1.452 4.107
Ag Ce Ir Dy
1 1 1 1
Cartesian
2.515 1.452 1.027 Ag
5.030 2.904 2.054 Ce
7.546 4.356 3.080 Ir
0.000 0.000 0.000 Dy

Density, record by record: 4.0 9.6 11.1 Mg/m³